Tb4CeTm5 | PBE | optimized geometry

The structure in extended XYZ format:
```
10
Lattice="-5.511 -1.693 -0.641 -2.795 -3.353 6.639 -5.063 5.770 2.049" Properties=species:S:1:pos:R:3 pbc="T T T"
Ce -1.109 -0.341 -0.129
Tm -3.702 -1.137 -0.431
Tm -2.522 -2.336 4.068
Tm -6.115 0.860 0.275
Tb -3.277 0.563 2.737
Tb -9.611 0.310 5.365
Tb -6.046 -1.162 4.855
Tm -3.942 3.376 1.193
Tb -6.841 2.035 3.247
Tm -5.267 -2.550 1.990
```

Output
- energy relative to the lowest polymorph listed for this composition (meV per atom) = 181
- calculated formation energy (eV per atom) = 0.269

***

Li3Pt | PBE | optimized geometry

The structure in extended XYZ format:
```
4
Lattice="-1.816 3.144 2.436 -2.389 -0.255 -1.452 -1.514 -3.245 3.060" Properties=species:S:1:pos:R:3 pbc="T T T"
Li -1.980 -1.810 0.861
Li -1.469 -3.149 2.969
Pt -1.924 -0.605 3.271
Li -2.365 0.882 1.022
```

Output
- energy relative to the lowest polymorph listed for this composition (meV per atom) = 36
- calculated formation energy (eV per atom) = -0.387

***

ZnHg2Sb | PBE | optimized geometry

The structure in extended XYZ format:
```
8
Lattice="-1.737 3.438 2.753 2.562 -1.619 3.638 7.364 6.390 0.740" Properties=species:S:1:pos:R:3 pbc="T T T"
Hg 5.959 5.394 3.132
Sb 0.000 0.000 0.000
Hg 3.139 1.186 2.940
Zn 0.412 0.909 3.196
Sb 3.019 5.369 3.344
Hg 6.117 6.464 5.967
Hg 1.162 3.373 2.224
Zn 5.169 2.840 3.787
```

Output
- energy relative to the lowest polymorph listed for this composition (meV per atom) = 81
- ΔE_f (raw) (meV/atom) = 160

***

La3HfAs | PBE | optimized geometry

The structure in extended XYZ format:
```
5
Lattice="-5.421 -1.259 0.242 1.075 -3.891 3.839 -0.698 3.782 4.029" Properties=species:S:1:pos:R:3 pbc="T T T"
Hf 0.000 0.000 0.000
La 0.537 -1.945 1.919
La -0.349 1.891 2.015
As -2.522 -0.684 4.055
La -2.710 -0.629 0.121
```

Output
- energy relative to the lowest polymorph listed for this composition (meV per atom) = 358
- calculated formation energy (eV per atom) = 0.384